No. 1
# Dy12Bi6Rh

Dy12Bi6Rh after structural relaxation (PBE, Alexandria via LeMat-Bulk).

```
Dy12Bi6Rh
1.0
-6.991 4.474 2.532
-1.565 -0.498 -8.521
-2.393 -7.984 2.416
Dy Bi Rh
12 6 1
Direct
0.005 0.689 0.940
0.540 0.201 0.411
0.589 0.460 0.799
0.201 0.411 0.540
0.411 0.540 0.201
0.689 0.940 0.005
0.060 0.995 0.311
0.940 0.005 0.689
0.460 0.799 0.589
0.799 0.589 0.460
0.311 0.060 0.995
0.995 0.311 0.060
0.117 0.650 0.318
0.318 0.117 0.650
0.650 0.318 0.117
0.682 0.883 0.350
0.883 0.350 0.682
0.350 0.682 0.883
0.000 0.000 0.000
```

Computed properties:
Total magnetization in μB/f.u.: 0.00
Uncorrected energy in eV per atom: -5.02

No. 2
# Y2MnCuC

Y2MnCuC after structural relaxation (PBE, Alexandria via LeMat-Bulk).

```
Y2MnCuC
1.0
4.952 0.000 0.000
0.000 4.952 0.000
0.000 0.000 3.734
Y Cu Mn C
2 1 1 1
Direct
0.000 0.500 0.000
0.500 0.000 0.000
0.500 0.500 0.500
0.000 0.000 0.500
0.000 0.000 0.000
```

Computed properties:
Total magnetization in μB/f.u.: 1.50
Uncorrected energy in eV per atom: -7.29

No. 3
# Li2MnPd2

Li2MnPd2 after structural relaxation (PBE, Alexandria via LeMat-Bulk).

```
Li2MnPd2
1.0
-4.940 -2.565 -4.049
-4.207 -2.313 0.747
-6.297 4.065 -0.743
Mn Pd Li
2 4 4
Direct
0.361 0.750 0.250
0.639 0.250 0.750
0.164 0.628 0.638
0.429 0.872 0.862
0.836 0.372 0.362
0.571 0.128 0.138
0.888 0.382 0.973
0.757 0.882 0.473
0.112 0.618 0.027
0.243 0.118 0.527
```

Computed properties:
Polymorph energy (0 for the lowest one) in meV per atom: 0
Total magnetization in μB/f.u.: 4.42
Uncorrected energy in eV per atom: -4.91